Computed, not measured: a relaxed structure of KPuMnF6 at the GGA+U level of DFT.

```
KPuMnF6
1.0
6.067 0.000 0.000
-3.034 5.254 0.000
0.000 0.000 10.735
K Pu Mn F
2 2 2 12
Direct
0.000 0.000 0.000 K
0.000 0.000 0.500 K
0.333 0.667 0.250 Pu
0.667 0.333 0.750 Pu
0.333 0.667 0.750 Mn
0.667 0.333 0.250 Mn
0.018 0.378 0.645 F
0.018 0.640 0.855 F
0.360 0.378 0.855 F
0.360 0.982 0.645 F
0.378 0.018 0.145 F
0.378 0.360 0.355 F
0.622 0.640 0.645 F
0.622 0.982 0.855 F
0.640 0.018 0.355 F
0.640 0.622 0.145 F
0.982 0.360 0.145 F
0.982 0.622 0.355 F
```

Results
**Magnetization**: 10.0 μB/f.u.
**DFT total energy**: -6.887 eV/atom
**SG**: P-31c (163)